DFT (GGA-PBE) results for a relaxed BeSb3As crystal.

```
BeSb3As
1.0
4.9042 0.0000 0.0000
0.0000 4.9042 0.0000
0.0000 0.0000 4.9042
Sb Be As
3 1 1
Direct
0.5000 0.0000 0.0000
0.0000 0.5000 0.0000
0.0000 0.0000 0.5000
0.0000 0.0000 0.0000
0.5000 0.5000 0.5000
```

Values from the calculation:
The calculation puts the volume at 118 Å³/f.u. The energy relative to the elements, uncorrected comes out at 555 meV/atom. Its density of states at the Fermi level is 3.7 states/eV per cell. For the size of the total moment, the calculation gives 0.00 μB per atom. For the polymorph energy (0 for the lowest one), the calculation gives 0 meV/atom. The calculation puts the energy at -3.59 eV per atom.



DFT (GGA-PBE) results for a relaxed Ca3Y2UP6 crystal.

```
Ca3Y2UP6
1.0
-1.8504 6.2195 -2.6270
-3.0948 -2.4104 5.7982
6.3170 1.6872 2.6612
Ca Y P U
3 2 6 1
Direct
0.8299 0.1701 0.5000
0.1701 0.8299 0.5000
0.5000 0.5000 0.5000
0.3337 0.6663 0.0000
0.6663 0.3337 0.0000
0.3936 0.0762 0.2297
0.2396 0.2396 0.7722
0.9238 0.6064 0.7703
0.7604 0.7604 0.2278
0.6064 0.9238 0.7703
0.0762 0.3936 0.2297
0.0000 0.0000 0.0000
```

Values from the calculation:
The calculation puts the volume at 283 Å³/f.u. For the size of the total moment, the calculation gives 0.00 μB per atom. The calculation puts the energy at -6.51 eV per atom.



What is the energy in the second record?
-6.51 eV per atom